(1)
## CsSr2Ag (PBE-GGA)

Data for CsSr2Ag after structural relaxation.

Cell: 8.748 8.748 8.748 Å, 90.00 90.00 90.00°
Space group Fm-3m (No. 225)
Asymmetric unit:
Cs: 0.000 0.000 0.000 (multiplicity 4)
Sr: 0.250 0.250 0.250 (multiplicity 8)
Ag: 0.000 0.000 0.500 (multiplicity 4)

Values from the calculation:
distance to the lowest polymorph of the same formula = 0.264 eV/atom
energy of formation from the pure elements = 0.8 eV/f.u.

***

(2)
## Ag2As2S5 (PBE-GGA)

Data for Ag2As2S5 after structural relaxation.

Cell: 14.222 4.697 6.337 Å, 90.00 100.21 90.00°
Space group C2/m (No. 12)
Asymmetric unit:
Ag: 0.171 0.000 0.445 (multiplicity 4)
As: 0.157 0.500 0.912 (multiplicity 4)
S: 0.000 0.500 0.000 (multiplicity 2)
S: 0.127 0.500 0.553 (multiplicity 4)
S: 0.159 0.000 0.022 (multiplicity 4)

Values from the calculation:
E_form (uncorrected) = 0.11 eV/atom

***

(3)
## Sc2Ru2N (PBE-GGA)

Data for Sc2Ru2N after structural relaxation.

Cell: 5.241 5.241 6.474 Å, 90.00 90.00 90.00°
Space group I4/mmm (No. 139)
Asymmetric unit:
Sc: 0.000 0.500 0.250 (multiplicity 4)
Ru: 0.000 0.000 0.214 (multiplicity 4)
N: 0.000 0.000 0.500 (multiplicity 2)

Values from the calculation:
E_form (uncorrected) = 0.20 eV/atom
distance to the lowest polymorph of the same formula = 0.158 eV/atom

***

(4)
## FeCoOs2 (PBE-GGA)

Data for FeCoOs2 after structural relaxation.

Cell: 2.682 3.690 5.192 Å, 90.00 90.00 90.00°
Space group Pmm2 (No. 25)
Asymmetric unit:
Fe: 0.000 0.000 0.000 (multiplicity 1)
Co: 0.500 0.500 0.776 (multiplicity 1)
Os: 0.000 0.000 0.520 (multiplicity 1)
Os: 0.500 0.500 0.265 (multiplicity 1)

Values from the calculation:
distance to the lowest polymorph of the same formula = 0.013 eV/atom
energy of formation from the pure elements = 0.5 eV/f.u.

***

Number 1: uncorrected energy -1.569 eV/atom. Number 2: uncorrected energy -3.852 eV/atom. Number 3: uncorrected energy -7.711 eV/atom. Number 4: uncorrected energy -9.385 eV/atom.